This record from the Alexandria database describes an optimized crystal structure of TbNd5Ga6. The functional is GGA-PBE. Values from VASP.

Values from the calculation:
Space-group type: No. 10
Energy relative to the elements, eV per atom: -0.559
Crystal system: monoclinic

```
&SYSTEM
  ibrav = 0, nat = 12, ntyp = 3
/
ATOMIC_SPECIES
Tb 158.93 Tb.upf
Nd 144.24 Nd.upf
Ga 69.72 Ga.upf
ATOMIC_POSITIONS crystal
Tb 0.000 0.000 0.000
Nd 0.000 0.500 0.000
Nd 0.331 0.500 0.662
Nd 0.334 0.000 0.668
Nd 0.666 0.000 0.332
Nd 0.669 0.500 0.338
Ga 0.164 0.245 0.328
Ga 0.164 0.755 0.328
Ga 0.500 0.246 0.000
Ga 0.500 0.754 0.000
Ga 0.836 0.245 0.672
Ga 0.836 0.755 0.672
CELL_PARAMETERS angstrom
5.199 0.000 0.000
0.000 7.354 0.000
-2.591 0.000 7.809
```

This record from the Alexandria database describes an optimized crystal structure of Pm6Cd2Ga. The functional is GGA-PBE. Values from VASP.

Values from the calculation:
Space-group type: No. 12
Energy relative to the elements, eV per atom: -0.021
Crystal system: monoclinic

```
&SYSTEM
  ibrav = 0, nat = 9, ntyp = 3
/
ATOMIC_SPECIES
Pm 145.00 Pm.upf
Cd 112.41 Cd.upf
Ga 69.72 Ga.upf
ATOMIC_POSITIONS crystal
Pm 0.080 0.594 0.338
Pm 0.238 0.762 0.000
Pm 0.406 0.920 0.662
Pm 0.594 0.080 0.338
Pm 0.762 0.238 0.000
Pm 0.920 0.406 0.662
Cd 0.334 0.334 0.835
Cd 0.666 0.666 0.165
Ga 0.000 0.000 0.500
CELL_PARAMETERS angstrom
8.181 -3.709 0.000
8.181 3.709 0.000
-1.608 0.000 4.908
```

This record from the Alexandria database describes an optimized crystal structure of ErPu2Pt. The functional is GGA-PBE. Values from VASP.

Values from the calculation:
Space-group type: No. 166
Energy relative to the elements, eV per atom: -0.154
Crystal system: trigonal

```
&SYSTEM
  ibrav = 0, nat = 4, ntyp = 3
/
ATOMIC_SPECIES
Er 167.26 Er.upf
Pu 244.00 Pu.upf
Pt 195.08 Pt.upf
ATOMIC_POSITIONS crystal
Er 0.000 0.000 0.000
Pu 0.234 0.234 0.234
Pu 0.766 0.766 0.766
Pt 0.500 0.500 0.500
CELL_PARAMETERS angstrom
1.839 1.062 9.481
-1.839 1.062 9.481
0.000 -2.123 9.481
```

This record from the Alexandria database describes an optimized crystal structure of TbThInTc. The functional is GGA-PBE. Values from VASP.

Values from the calculation:
Space-group type: No. 216
Energy relative to the elements, eV per atom: -0.086
Crystal system: cubic

```
&SYSTEM
  ibrav = 0, nat = 4, ntyp = 4
/
ATOMIC_SPECIES
Tb 158.93 Tb.upf
Th 232.04 Th.upf
In 114.82 In.upf
Tc 98.00 Tc.upf
ATOMIC_POSITIONS crystal
Tb 0.000 0.000 0.000
Th 0.500 0.500 0.500
In 0.750 0.750 0.750
Tc 0.250 0.250 0.250
CELL_PARAMETERS angstrom
0.000 3.669 3.669
3.669 0.000 3.669
3.669 3.669 0.000
```

This record from the Alexandria database describes an optimized crystal structure of NaGa2Pt2. The functional is GGA-PBE. Values from VASP.

Values from the calculation:
Space-group type: No. 139
Energy relative to the elements, eV per atom: -0.545
Relative energy among the computed polymorphs, meV per atom: 69
Crystal system: tetragonal

```
&SYSTEM
  ibrav = 0, nat = 5, ntyp = 3
/
ATOMIC_SPECIES
Na 22.99 Na.upf
Ga 69.72 Ga.upf
Pt 195.08 Pt.upf
ATOMIC_POSITIONS crystal
Na 0.000 0.000 0.000
Ga 0.383 0.383 0.000
Ga 0.617 0.617 0.000
Pt 0.250 0.750 0.500
Pt 0.750 0.250 0.500
CELL_PARAMETERS angstrom
-2.061 2.061 5.492
2.061 -2.061 5.492
2.061 2.061 -5.492
```

This record from the Alexandria database describes an optimized crystal structure of Ce2HoAs3. The functional is GGA-PBE. Values from VASP.

Values from the calculation:
Space-group type: No. 139
Energy relative to the elements, eV per atom: -1.450
Relative energy among the computed polymorphs, meV per atom: 3
Crystal system: tetragonal

```
&SYSTEM
  ibrav = 0, nat = 6, ntyp = 3
/
ATOMIC_SPECIES
Ce 140.12 Ce.upf
Ho 164.93 Ho.upf
As 74.92 As.upf
ATOMIC_POSITIONS crystal
Ce 0.166 0.166 0.000
Ce 0.834 0.834 0.000
Ho 0.500 0.500 0.000
As 0.000 0.000 0.000
As 0.335 0.335 0.000
As 0.665 0.665 0.000
CELL_PARAMETERS angstrom
-2.092 2.092 8.849
2.092 -2.092 8.849
2.092 2.092 -8.849
```

This record from the Alexandria database describes an optimized crystal structure of Tb2NdThHg4. The functional is GGA-PBE. Values from VASP.

Values from the calculation:
Space-group type: No. 166
Energy relative to the elements, eV per atom: -0.394
Crystal system: trigonal

```
&SYSTEM
  ibrav = 0, nat = 8, ntyp = 4
/
ATOMIC_SPECIES
Tb 158.93 Tb.upf
Nd 144.24 Nd.upf
Th 232.04 Th.upf
Hg 200.59 Hg.upf
ATOMIC_POSITIONS crystal
Tb 0.249 0.249 0.249
Tb 0.751 0.751 0.751
Nd 0.000 0.000 0.000
Th 0.500 0.500 0.500
Hg 0.124 0.124 0.124
Hg 0.374 0.374 0.374
Hg 0.626 0.626 0.626
Hg 0.876 0.876 0.876
CELL_PARAMETERS angstrom
2.679 1.547 8.760
-2.679 1.547 8.760
0.000 -3.093 8.760
```

This record from the Alexandria database describes an optimized crystal structure of Gd3Te. The functional is GGA-PBE. Values from VASP.

Values from the calculation:
Space-group type: No. 221
Relative energy among the computed polymorphs, meV per atom: 46
Uncorrected formation energy, eV per formula unit: -2.0
Crystal system: cubic

```
&SYSTEM
  ibrav = 0, nat = 4, ntyp = 2
/
ATOMIC_SPECIES
Gd 157.25 Gd.upf
Te 127.60 Te.upf
ATOMIC_POSITIONS crystal
Gd 0.000 0.000 0.500
Gd 0.000 0.500 0.000
Gd 0.500 0.000 0.000
Te 0.500 0.500 0.500
CELL_PARAMETERS angstrom
4.846 0.000 0.000
0.000 4.846 0.000
0.000 0.000 4.846
```